Entry 1:
Crystalline Y2ErSc at its relaxed geometry, computed with PBE. Values from VASP.

Calculated values
Energy above the lowest structure with this stoichiometry = 10.4 kJ/mol of atoms
Energy relative to the elements = 0.13 eV per atom
Crystal system = cubic

Structure (Quantum ESPRESSO input):
```
&SYSTEM
  ibrav = 0, nat = 4, ntyp = 3
/
ATOMIC_SPECIES
Y 88.91 Y.upf
Er 167.26 Er.upf
Sc 44.96 Sc.upf
CELL_PARAMETERS angstrom
0.0000 3.9214 3.9214
3.9214 0.0000 3.9214
3.9214 3.9214 0.0000
ATOMIC_POSITIONS crystal
Y 0.2500 0.2500 0.2500
Y 0.7500 0.7500 0.7500
Er 0.0000 0.0000 0.0000
Sc 0.5000 0.5000 0.5000
```


Entry 2:
Crystalline TcPb2Se at its relaxed geometry, computed with PBE. Values from VASP.

Calculated values
Energy relative to the elements, uncorrected = 14.99 kcal/mol of atoms
Energy above the lowest structure with this stoichiometry = 61.8 kJ/mol of atoms
Crystal system = orthorhombic

Structure (Quantum ESPRESSO input):
```
&SYSTEM
  ibrav = 0, nat = 4, ntyp = 3
/
ATOMIC_SPECIES
Tc 98.00 Tc.upf
Pb 207.20 Pb.upf
Se 78.96 Se.upf
CELL_PARAMETERS angstrom
3.6945 0.0000 0.0000
0.0000 4.9574 0.0000
0.0000 0.0000 5.2678
ATOMIC_POSITIONS crystal
Tc 0.0000 0.0000 0.0000
Pb 0.0000 0.5000 0.5000
Pb 0.5000 0.5000 0.0000
Se 0.5000 0.0000 0.5000
```


Entry 3:
Crystalline ReAu2Se at its relaxed geometry, computed with PBE. Values from VASP.

Calculated values
Energy relative to the elements, uncorrected = 4.29 kcal/mol of atoms
Crystal system = trigonal

Structure (Quantum ESPRESSO input):
```
&SYSTEM
  ibrav = 0, nat = 4, ntyp = 3
/
ATOMIC_SPECIES
Re 186.21 Re.upf
Au 196.97 Au.upf
Se 78.96 Se.upf
CELL_PARAMETERS angstrom
1.5194 0.8772 9.4635
-1.5194 0.8772 9.4635
0.0000 -1.7545 9.4635
ATOMIC_POSITIONS crystal
Re 0.0000 0.0000 0.0000
Au 0.2534 0.2534 0.2534
Au 0.5052 0.5052 0.5052
Se 0.7268 0.7268 0.7268
```


Entry 4:
Crystalline HfZrSc2Bi at its relaxed geometry, computed with PBE. Values from VASP.

Calculated values
Energy relative to the elements = 0.84 eV per atom
Crystal system = tetragonal

Structure (Quantum ESPRESSO input):
```
&SYSTEM
  ibrav = 0, nat = 5, ntyp = 4
/
ATOMIC_SPECIES
Hf 178.49 Hf.upf
Zr 91.22 Zr.upf
Sc 44.96 Sc.upf
Bi 208.98 Bi.upf
CELL_PARAMETERS angstrom
5.3101 0.0000 0.0000
0.0000 5.3101 0.0000
0.0000 0.0000 5.4292
ATOMIC_POSITIONS crystal
Hf 0.0000 0.0000 0.0000
Zr 0.5000 0.5000 0.0000
Sc 0.0000 0.5000 0.5000
Sc 0.5000 0.0000 0.5000
Bi 0.0000 0.0000 0.5000
```


Entry 5:
Crystalline Tb4Ce3NdP8 at its relaxed geometry, computed with PBE. Values from VASP.

Calculated values
Energy relative to the elements = -1.56 eV per atom
Crystal system = trigonal

Structure (Quantum ESPRESSO input):
```
&SYSTEM
  ibrav = 0, nat = 16, ntyp = 4
/
ATOMIC_SPECIES
Tb 158.93 Tb.upf
Ce 140.12 Ce.upf
Nd 144.24 Nd.upf
P 30.97 P.upf
CELL_PARAMETERS angstrom
4.0685 2.3490 6.6301
-4.0685 2.3490 6.6301
0.0000 -4.6980 6.6301
ATOMIC_POSITIONS crystal
Tb 0.0000 0.0000 0.0000
Tb 0.0000 0.5000 0.5000
Tb 0.5000 0.0000 0.5000
Tb 0.5000 0.5000 0.0000
Ce 0.0000 0.0000 0.5000
Ce 0.0000 0.5000 0.0000
Ce 0.5000 0.0000 0.0000
Nd 0.5000 0.5000 0.5000
P 0.2471 0.2471 0.7526
P 0.2471 0.7526 0.2471
P 0.2474 0.7529 0.7529
P 0.2507 0.2507 0.2507
P 0.7493 0.7493 0.7493
P 0.7526 0.2471 0.2471
P 0.7529 0.2474 0.7529
P 0.7529 0.7529 0.2474
```


Entry 6:
Crystalline NaTiCdSn2 at its relaxed geometry, computed with PBE. Values from VASP.

Calculated values
Energy relative to the elements = 0.96 eV per atom
Crystal system = tetragonal

Structure (Quantum ESPRESSO input):
```
&SYSTEM
  ibrav = 0, nat = 5, ntyp = 4
/
ATOMIC_SPECIES
Na 22.99 Na.upf
Ti 47.87 Ti.upf
Cd 112.41 Cd.upf
Sn 118.71 Sn.upf
CELL_PARAMETERS angstrom
5.2573 0.0000 0.0000
0.0000 5.2573 0.0000
0.0000 0.0000 4.9694
ATOMIC_POSITIONS crystal
Na 0.0000 0.0000 0.0000
Ti 0.5000 0.5000 0.5000
Cd 0.0000 0.0000 0.5000
Sn 0.0000 0.5000 0.0000
Sn 0.5000 0.0000 0.0000
```


Entry 7:
Crystalline ScP2WS at its relaxed geometry, computed with PBE. Values from VASP.

Calculated values
Energy relative to the elements, uncorrected = 27.66 kcal/mol of atoms
Energy above the lowest structure with this stoichiometry = 110.7 kJ/mol of atoms
Crystal system = tetragonal

Structure (Quantum ESPRESSO input):
```
&SYSTEM
  ibrav = 0, nat = 5, ntyp = 4
/
ATOMIC_SPECIES
Sc 44.96 Sc.upf
P 30.97 P.upf
W 183.84 W.upf
S 32.06 S.upf
CELL_PARAMETERS angstrom
4.7812 0.0000 0.0000
0.0000 4.7812 0.0000
0.0000 0.0000 4.6320
ATOMIC_POSITIONS crystal
Sc 0.0000 0.0000 0.0000
P 0.0000 0.5000 0.0000
P 0.5000 0.0000 0.0000
W 0.5000 0.5000 0.5000
S 0.0000 0.0000 0.5000
```


Entry 8:
Crystalline CaPrHoSc at its relaxed geometry, computed with PBE. Values from VASP.

Calculated values
Energy relative to the elements = 0.15 eV per atom
Crystal system = cubic

Structure (Quantum ESPRESSO input):
```
&SYSTEM
  ibrav = 0, nat = 4, ntyp = 4
/
ATOMIC_SPECIES
Ca 40.08 Ca.upf
Pr 140.91 Pr.upf
Ho 164.93 Ho.upf
Sc 44.96 Sc.upf
CELL_PARAMETERS angstrom
0.0000 4.0090 4.0090
4.0090 0.0000 4.0090
4.0090 4.0090 0.0000
ATOMIC_POSITIONS crystal
Ca 0.0000 0.0000 0.0000
Pr 0.2500 0.2500 0.2500
Ho 0.7500 0.7500 0.7500
Sc 0.5000 0.5000 0.5000
```


no.,E (eV/atom)
1,-5.8270
2,-4.6666
3,-5.4357
4,-6.1664
5,-6.8375
6,-2.6696
7,-5.6468
8,-4.2740